Arrangement w

DFT (PBE) results for a relaxed structure of TaCuRe2.

Properties
SG ... No. 216

```
4
Lattice="-1.294 -3.167 2.793 2.889 -1.750 2.845 -0.348 0.869 4.316" Properties=species:S:1:pos:R:3 pbc="T T T"
Cu 0.623 -2.024 4.977
Re 0.000 0.000 0.000
Re 0.312 -1.012 2.488
Ta 0.935 -3.036 7.465
```

Arrangement x

DFT (PBE) results for a relaxed structure of TaCuRe2.

Properties
SG ... No. 225

```
4
Lattice="4.333 -0.161 0.806 1.955 3.278 2.210 1.455 -0.671 4.109" Properties=species:S:1:pos:R:3 pbc="T T T"
Re 1.936 0.612 1.781
Re 5.808 1.835 5.343
Cu 0.000 0.000 0.000
Ta 3.872 1.223 3.562
```

Stability, lowest: arrangement x

Arrangement w

DFT (PBE) results for a relaxed structure of TaCuRe2.

Properties
SG ... No. 123

```
4
Lattice="-1.542 -1.768 -1.289 0.838 -1.934 1.650 -6.405 1.735 5.284" Properties=species:S:1:pos:R:3 pbc="T T T"
Cu -5.156 -0.550 4.144
Re -6.280 1.701 5.182
Re -3.327 0.901 2.745
Ta -1.953 -1.417 1.502
```

Arrangement x

DFT (PBE) results for a relaxed structure of TaCuRe2.

Properties
SG ... No. 139

```
4
Lattice="4.957 0.016 0.000 1.987 4.542 0.000 -3.472 -2.279 2.707" Properties=species:S:1:pos:R:3 pbc="T T T"
Cu 2.479 0.008 1.353
Re 0.000 0.000 0.000
Re 3.472 2.279 0.000
Ta 0.994 2.271 1.353
```

Arrangement y

DFT (PBE) results for a relaxed structure of TaCuRe2.

Properties
SG ... No. 122

```
8
Lattice="-4.750 4.159 3.175 3.007 -1.340 6.253 0.715 3.467 4.392" Properties=species:S:1:pos:R:3 pbc="T T T"
Re -2.336 3.230 3.812
Re 1.385 0.618 5.456
Re -0.068 3.635 6.933
Re -1.039 5.089 11.441
Cu -0.872 1.409 4.714
Cu 1.425 1.768 7.680
Ta 0.000 0.000 0.000
Ta -2.454 4.518 6.141
```

Arrangement z

DFT (PBE) results for a relaxed structure of TaCuRe2.

Properties
SG ... No. 35

```
4
Lattice="2.717 -0.018 0.000 -0.822 2.589 0.000 0.000 0.000 8.695" Properties=species:S:1:pos:R:3 pbc="T T T"
Cu 0.947 1.286 6.555
Re 0.000 0.000 8.670
Re 0.947 1.286 2.132
Ta 0.000 0.000 4.382
```

Stability, lowest: arrangement y

Arrangement w

DFT (PBE) results for a relaxed structure of TaCuRe2.

Properties
SG ... No. 123

```
4
Lattice="3.251 0.000 0.000 0.000 3.250 0.000 0.000 0.000 5.721" Properties=species:S:1:pos:R:3 pbc="T T T"
Cu 1.626 1.625 4.291
Re 0.000 0.000 5.586
Re 0.000 0.000 2.996
Ta 1.626 1.625 1.430
```

Arrangement x

DFT (PBE) results for a relaxed structure of TaCuRe2.

Properties
SG ... No. 25

```
4
Lattice="2.828 0.000 0.000 0.000 3.932 0.000 0.000 0.000 5.476" Properties=species:S:1:pos:R:3 pbc="T T T"
Cu 1.414 1.966 4.111
Re 0.000 0.000 0.070
Re 1.414 1.966 1.264
Ta 0.000 0.000 2.769
```

Arrangement y

DFT (PBE) results for a relaxed structure of TaCuRe2.

Properties
SG ... No. 166

```
4
Lattice="9.483 0.012 0.007 9.079 2.738 0.007 9.079 1.345 2.385" Properties=species:S:1:pos:R:3 pbc="T T T"
Cu 20.730 3.072 1.799
Re 0.143 0.021 0.012
Re 13.677 2.026 1.187
Ta 6.910 1.024 0.600
```

Stability, lowest: arrangement y

Arrangement w

DFT (PBE) results for a relaxed structure of TaCuRe2.

Properties
SG ... No. 12

```
4
Lattice="-1.766 -3.300 -2.947 -2.804 -3.851 -0.083 -4.118 1.543 -1.196" Properties=species:S:1:pos:R:3 pbc="T T T"
Cu -6.515 -4.206 -3.169
Re -4.047 1.481 -1.182
Re -4.414 -2.742 -2.127
Ta -2.172 -1.402 -1.056
```

Arrangement x

DFT (PBE) results for a relaxed structure of TaCuRe2.

Properties
SG ... No. 71

```
4
Lattice="-3.919 2.203 2.556 -4.244 -2.865 0.725 5.094 0.244 0.860" Properties=species:S:1:pos:R:3 pbc="T T T"
Cu -1.616 -1.476 1.613
Re -8.120 -0.659 3.264
Re -4.124 -0.335 1.658
Ta -1.453 1.058 2.529
```

Stability, lowest: arrangement x

Arrangement w

DFT (PBE) results for a relaxed structure of TaCuRe2.

Properties
SG ... No. 10

```
4
Lattice="-3.333 2.267 -1.896 -1.582 -2.138 0.225 -1.989 0.990 4.679" Properties=species:S:1:pos:R:3 pbc="T T T"
Cu -4.345 0.272 2.730
Re -3.549 -1.155 4.858
Re -1.807 -0.568 2.498
Ta -2.559 0.846 0.278
```

Arrangement x

DFT (PBE) results for a relaxed structure of TaCuRe2.

Properties
SG ... No. 160

```
4
Lattice="9.254 -0.001 -0.001 8.832 2.763 -0.001 8.832 1.349 2.412" Properties=species:S:1:pos:R:3 pbc="T T T"
Cu 20.119 3.073 1.802
Re 26.903 4.109 2.409
Re 6.868 1.049 0.615
Ta 13.405 2.047 1.200
```

Stability, lowest: arrangement x

Arrangement w

DFT (PBE) results for a relaxed structure of TaCuRe2.

Properties
SG ... No. 119

```
4
Lattice="-2.058 -4.253 0.608 3.412 -3.323 -0.093 -0.364 4.032 2.510" Properties=species:S:1:pos:R:3 pbc="T T T"
Cu -0.872 -2.005 1.688
Re 0.000 0.000 0.000
Re 1.863 -1.539 1.338
Ta 0.677 -3.788 0.258
```

Arrangement x

DFT (PBE) results for a relaxed structure of TaCuRe2.

Properties
SG ... No. 8

```
4
Lattice="-3.903 0.064 -3.337 -1.563 -1.794 -4.551 -2.623 -3.430 0.193" Properties=species:S:1:pos:R:3 pbc="T T T"
Cu -6.058 -3.873 -5.749
Re -5.444 -1.745 -7.822
Re -2.034 -1.282 -1.957
Ta -4.063 -2.569 -3.900
```

Arrangement y

DFT (PBE) results for a relaxed structure of TaCuRe2.

Properties
SG ... No. 123

```
4
Lattice="-3.354 1.953 0.012 -1.662 -2.841 -2.056 -1.052 -1.827 3.376" Properties=species:S:1:pos:R:3 pbc="T T T"
Cu -1.357 -2.334 0.660
Re 0.000 0.000 0.000
Re -2.508 -0.444 -1.022
Ta -2.203 0.063 1.694
```

Arrangement z

DFT (PBE) results for a relaxed structure of TaCuRe2.

Properties
SG ... No. 6

```
4
Lattice="4.370 0.000 0.000 0.000 2.752 -0.005 0.000 0.965 5.057" Properties=species:S:1:pos:R:3 pbc="T T T"
Cu 2.185 3.164 3.712
Re 0.000 2.506 0.112
Re 2.185 0.864 1.091
Ta 0.000 1.793 2.659
```

Stability, lowest: arrangement x